# Al6CuTc2, relaxed, DFT PBE
data_Al6CuTc2
_chemical_formula_sum 'Al6 Cu1 Tc2'
_space_group_name_H-M_alt 'P 1'
_space_group_IT_number 1
_cell_length_a 3.483
_cell_length_b 6.645
_cell_length_c 6.357
_cell_angle_alpha 110.11
_cell_angle_beta 105.90
_cell_angle_gamma 90.00
loop_
_space_group_symop_operation_xyz
'x,y,z'
loop_
_atom_site_label
_atom_site_type_symbol
_atom_site_fract_x
_atom_site_fract_y
_atom_site_fract_z
_atom_site_occupancy
Al1 Al 0.842 0.499 0.683 1
Cu1 Cu 0.500 0.500 0.000 1
Tc1 Tc 0.935 0.168 0.871 1
Al2 Al 0.158 0.501 0.317 1
Tc2 Tc 0.065 0.832 0.129 1
Al3 Al 0.277 0.157 0.554 1
Al4 Al 0.599 0.157 0.197 1
Al5 Al 0.723 0.843 0.446 1
Al6 Al 0.401 0.843 0.803 1
# E_form (eV/atom): -0.246
# Space group: C2/m
# Spin magnetization (μB/cell): 0.00